No. 1
Material: In3GeTe
Method: DFT, PBE
State: optimized geometry

Cell and atoms, written as POSCAR:
```
In3GeTe
1.0
5.845 0.000 0.000
0.000 5.845 0.000
0.000 0.000 5.845
Ge Te In
1 1 3
Direct
0.500 0.500 0.500
0.000 0.000 0.000
0.000 0.500 0.000
0.000 0.000 0.500
0.500 0.000 0.000
```

Summary:
For the energy above the most stable polymorph in this dataset, the calculation gives 605 meV/atom. The space-group type is Pm-3m, No. 221. For the total DFT energy (no corrections), the calculation gives -12.2 eV/f.u.

No. 2
Material: InGe3Te4
Method: DFT, PBE
State: optimized geometry

Cell and atoms, written as POSCAR:
```
InGe3Te4
1.0
-5.037 2.247 -2.867
-0.015 -7.872 -6.143
-5.205 -4.421 5.679
In Ge Te
2 6 8
Direct
0.052 0.178 0.000
0.552 0.822 0.500
0.548 0.840 0.000
0.044 0.663 0.237
0.544 0.337 0.263
0.048 0.160 0.500
0.544 0.337 0.737
0.044 0.663 0.763
0.091 0.865 0.000
0.563 0.179 0.000
0.086 0.354 0.277
0.586 0.646 0.223
0.063 0.821 0.500
0.591 0.135 0.500
0.586 0.646 0.777
0.086 0.354 0.723
```

Summary:
The space-group type is Pmn2_1, No. 31. For the total DFT energy (no corrections), the calculation gives -29.4 eV/f.u.

No. 3
Material: In3Ge5Te12
Method: DFT, PBE
State: optimized geometry

Cell and atoms, written as POSCAR:
```
In3Ge5Te12
1.0
15.093 0.000 0.000
-5.031 14.230 0.000
-5.031 -7.115 12.324
In Ge Te
12 20 48
Direct
0.750 0.375 0.125
0.875 0.750 0.125
0.375 0.750 0.625
0.250 0.125 0.375
0.875 0.125 0.250
0.375 0.625 0.250
0.625 0.375 0.750
0.125 0.875 0.750
0.750 0.875 0.625
0.625 0.250 0.375
0.125 0.250 0.875
0.250 0.625 0.875
0.125 0.375 0.250
0.000 0.500 0.000
0.000 0.000 0.000
0.375 0.250 0.125
0.500 0.000 0.500
0.500 0.500 0.000
0.125 0.750 0.375
0.750 0.125 0.875
0.750 0.625 0.375
0.375 0.125 0.750
0.625 0.875 0.250
0.500 0.500 0.500
0.500 0.000 0.000
0.000 0.000 0.500
0.250 0.375 0.625
0.250 0.875 0.125
0.000 0.500 0.500
0.875 0.250 0.625
0.625 0.750 0.875
0.875 0.625 0.750
0.716 0.122 0.036
0.320 0.536 0.415
0.964 0.378 0.284
0.536 0.216 0.122
0.595 0.716 0.680
0.964 0.585 0.180
0.320 0.784 0.405
0.085 0.905 0.122
0.585 0.964 0.680
0.716 0.595 0.180
0.784 0.464 0.378
0.820 0.915 0.036
0.122 0.716 0.536
0.378 0.415 0.095
0.095 0.915 0.378
0.405 0.122 0.585
0.095 0.180 0.216
0.464 0.680 0.085
0.820 0.905 0.284
0.122 0.405 0.085
0.378 0.964 0.784
0.585 0.622 0.405
0.915 0.820 0.536
0.784 0.320 0.905
0.415 0.378 0.595
0.085 0.180 0.464
0.216 0.680 0.095
0.180 0.095 0.716
0.622 0.036 0.216
0.878 0.595 0.915
0.536 0.320 0.915
0.595 0.878 0.415
0.905 0.820 0.784
0.905 0.085 0.622
0.878 0.284 0.464
0.180 0.085 0.964
0.622 0.585 0.905
0.415 0.036 0.320
0.284 0.405 0.820
0.216 0.536 0.622
0.915 0.095 0.878
0.680 0.216 0.595
0.464 0.784 0.878
0.036 0.415 0.820
0.405 0.284 0.320
0.036 0.622 0.716
0.680 0.464 0.585
0.284 0.878 0.964
```

Summary:
The space-group type is Ia-3d, No. 230. For the total DFT energy (no corrections), the calculation gives -67.9 eV/f.u.